{"formula": "ZnSe2Br", "functional": "PBE", "state": "relaxed", "dos_ef_per_ev_cell": 14.47, "e_form_raw_ev_per_atom": 0.430, "total_energy_ev_per_atom": -2.05, "sg": "F-43m", "cell": [[6.981, 0.000, 0.000], [0.000, 6.981, 0.000], [0.000, 0.000, 6.981]], "species": ["Zn", "Zn", "Zn", "Zn", "Se", "Se", "Se", "Se", "Se", "Se", "Se", "Se", "Br", "Br", "Br", "Br"], "fractional_positions": [[0.000, 0.000, 0.000], [0.000, 0.500, 0.500], [0.500, 0.000, 0.500], [0.500, 0.500, 0.000], [0.000, 0.000, 0.500], [0.000, 0.500, 0.000], [0.250, 0.250, 0.250], [0.250, 0.750, 0.750], [0.500, 0.000, 0.000], [0.500, 0.500, 0.500], [0.750, 0.250, 0.750], [0.750, 0.750, 0.250], [0.250, 0.250, 0.750], [0.250, 0.750, 0.250], [0.750, 0.250, 0.250], [0.750, 0.750, 0.750]]}

{"formula": "KCd4Pt", "functional": "PBE", "state": "relaxed", "delta_e_f_mev_per_atom": -178, "dos_ef_per_ev_cell": 4.67, "total_energy_ev_per_atom": -1.98, "sg": "Pmma", "cell": [[8.770, 0.000, 0.000], [0.000, 4.421, 0.000], [0.000, 0.000, 7.926]], "species": ["K", "K", "Cd", "Cd", "Cd", "Cd", "Cd", "Cd", "Cd", "Cd", "Pt", "Pt"], "fractional_positions": [[0.250, 0.000, 0.114], [0.750, 0.000, 0.886], [0.000, 0.000, 0.500], [0.069, 0.500, 0.822], [0.250, 0.500, 0.467], [0.431, 0.500, 0.822], [0.500, 0.000, 0.500], [0.569, 0.500, 0.178], [0.750, 0.500, 0.533], [0.931, 0.500, 0.178], [0.250, 0.000, 0.700], [0.750, 0.000, 0.300]]}

{"formula": "Hf2TiTc2", "functional": "PBE", "state": "relaxed", "delta_e_f_mev_per_atom": -362, "dos_ef_per_ev_cell": 9.01, "total_energy_ev_per_atom": -10.07, "sg": "P2_1/m", "cell": [[3.271, 0.000, 0.000], [0.000, 4.691, 0.000], [-1.650, 0.000, 11.434]], "species": ["Hf", "Hf", "Hf", "Hf", "Ti", "Ti", "Tc", "Tc", "Tc", "Tc"], "fractional_positions": [[0.049, 0.250, 0.098], [0.236, 0.250, 0.473], [0.764, 0.750, 0.527], [0.951, 0.750, 0.902], [0.141, 0.750, 0.283], [0.859, 0.250, 0.717], [0.353, 0.750, 0.707], [0.447, 0.250, 0.895], [0.553, 0.750, 0.105], [0.647, 0.250, 0.293]]}

{"formula": "Er4TcAu", "functional": "PBE", "state": "relaxed", "delta_e_f_mev_per_atom": -400, "dos_ef_per_ev_cell": 20.74, "total_energy_ev_per_atom": -5.72, "sg": "Pnma", "cell": [[7.643, 0.000, 0.000], [0.000, 4.308, 0.000], [0.000, 0.000, 18.190]], "species": ["Er", "Er", "Er", "Er", "Er", "Er", "Er", "Er", "Er", "Er", "Er", "Er", "Er", "Er", "Er", "Er", "Tc", "Tc", "Tc", "Tc", "Au", "Au", "Au", "Au"], "fractional_positions": [[0.003, 0.250, 0.071], [0.072, 0.250, 0.783], [0.099, 0.250, 0.355], [0.149, 0.250, 0.544], [0.351, 0.750, 0.044], [0.401, 0.750, 0.855], [0.428, 0.750, 0.283], [0.497, 0.750, 0.571], [0.503, 0.250, 0.429], [0.572, 0.250, 0.717], [0.599, 0.250, 0.145], [0.649, 0.250, 0.956], [0.851, 0.750, 0.456], [0.901, 0.750, 0.645], [0.928, 0.750, 0.217], [0.997, 0.750, 0.929], [0.250, 0.250, 0.938], [0.250, 0.750, 0.438], [0.750, 0.250, 0.562], [0.750, 0.750, 0.062], [0.230, 0.250, 0.200], [0.270, 0.750, 0.700], [0.730, 0.250, 0.300], [0.770, 0.750, 0.800]]}

{"formula": "KV2Se4", "functional": "PBE", "state": "relaxed", "dos_ef_per_ev_cell": 8.74, "e_form_raw_ev_per_atom": -0.860, "total_energy_ev_per_atom": -5.61, "sg": "C2/m", "cell": [[16.629, 0.000, 0.000], [0.000, 3.598, 0.000], [-1.650, 0.000, 5.914]], "species": ["K", "K", "V", "V", "V", "V", "Se", "Se", "Se", "Se", "Se", "Se", "Se", "Se"], "fractional_positions": [[0.000, 0.000, 0.000], [0.500, 0.500, 0.000], [0.249, 0.500, 0.715], [0.251, 0.000, 0.285], [0.749, 0.000, 0.715], [0.751, 0.500, 0.285], [0.149, 0.000, 0.511], [0.167, 0.500, 0.021], [0.333, 0.000, 0.979], [0.351, 0.500, 0.489], [0.649, 0.500, 0.511], [0.667, 0.000, 0.021], [0.833, 0.500, 0.979], [0.851, 0.000, 0.489]]}

{"formula": "Sr2TaTe", "functional": "PBE", "state": "relaxed", "dos_ef_per_ev_cell": 3.96, "e_form_raw_ev_per_atom": 0.158, "total_energy_ev_per_atom": -4.43, "sg": "P4/mmm", "cell": [[4.155, 0.000, 0.000], [0.000, 4.155, 0.000], [0.000, 0.000, 7.329]], "species": ["Sr", "Sr", "Ta", "Te"], "fractional_positions": [[0.000, 0.000, 0.246], [0.000, 0.000, 0.754], [0.500, 0.500, 0.500], [0.500, 0.500, 0.000]]}

{"formula": "LaSm7Tm4", "functional": "PBE", "state": "relaxed", "delta_e_f_mev_per_atom": 253, "dos_ef_per_ev_cell": 18.23, "total_energy_ev_per_atom": -4.40, "sg": "C2/m", "cell": [[6.039, -2.987, 0.000], [6.039, 2.987, 0.000], [-5.933, 0.000, 11.200]], "species": ["La", "Sm", "Sm", "Sm", "Sm", "Sm", "Sm", "Sm", "Tm", "Tm", "Tm", "Tm"], "fractional_positions": [[0.000, 0.000, 0.000], [0.058, 0.058, 0.332], [0.209, 0.209, 0.920], [0.368, 0.368, 0.496], [0.500, 0.500, 0.000], [0.632, 0.632, 0.504], [0.791, 0.791, 0.080], [0.942, 0.942, 0.668], [0.254, 0.254, 0.685], [0.368, 0.368, 0.225], [0.632, 0.632, 0.775], [0.746, 0.746, 0.315]]}